# 1
# GGA-PBE TlIn4Sn4, optimized geometry
data_TlIn4Sn4
_cell_length_a 10.331
_cell_length_b 10.331
_cell_length_c 4.738
_cell_angle_alpha 90.00
_cell_angle_beta 90.00
_cell_angle_gamma 90.00
_symmetry_space_group_name_H-M 'I 4/m m m'
_symmetry_Int_Tables_number 139
_symmetry_space_group_name_Hall '-I 4 2'
loop_
_atom_site_label
_atom_site_fract_x
_atom_site_fract_y
_atom_site_fract_z
Tl1 0.000 0.000 0.000
In1 0.170 0.170 0.500
Sn1 0.000 0.339 0.000
# distance to the lowest polymorph of the same formula: 0.0 meV/atom
# ΔE_f: 0.03 eV/atom

=====

# 2
# GGA-PBE Tl3In3SnHg2, optimized geometry
data_Tl3In3SnHg2
_cell_length_a 8.6730
_cell_length_b 8.6730
_cell_length_c 3.9997
_cell_angle_alpha 90.00
_cell_angle_beta 90.00
_cell_angle_gamma 120.00
_symmetry_space_group_name_H-M 'P -6 2 m'
_symmetry_Int_Tables_number 189
_symmetry_space_group_name_Hall 'P -6 -2'
loop_
_atom_site_label
_atom_site_fract_x
_atom_site_fract_y
_atom_site_fract_z
Tl1 0.0000 0.3937 0.0000
In1 0.0000 0.7222 0.5000
Sn1 0.0000 0.0000 0.0000
Hg1 0.3333 0.6667 0.5000
# ΔE_f: 0.01 eV/atom

=====

# 3
# GGA-PBE AgSbW2, optimized geometry
data_AgSbW2
_cell_length_a 3.239
_cell_length_b 3.239
_cell_length_c 7.338
_cell_angle_alpha 90.00
_cell_angle_beta 90.00
_cell_angle_gamma 90.00
_symmetry_space_group_name_H-M 'P 4 m m'
_symmetry_Int_Tables_number 99
loop_
_symmetry_equiv_pos_as_xyz
'x,y,z'
'-y,x,z'
'-x,-y,z'
'y,-x,z'
'-x,y,z'
'y,x,z'
'x,-y,z'
'-y,-x,z'
loop_
_atom_site_label
_atom_site_fract_x
_atom_site_fract_y
_atom_site_fract_z
Ag1 0.000 0.000 0.000
Sb1 0.500 0.500 0.300
W1 0.000 0.000 0.561
W2 0.500 0.500 0.744
# energy relative to the elements, uncorrected: 516 meV per atom

=====

# 4
# GGA-PBE LaTb6Pm, optimized geometry
data_LaTb6Pm
_cell_length_a 10.316
_cell_length_b 6.791
_cell_length_c 8.552
_cell_angle_alpha 90.00
_cell_angle_beta 104.98
_cell_angle_gamma 90.00
_symmetry_space_group_name_H-M 'C 1 2/m 1'
_symmetry_Int_Tables_number 12
loop_
_symmetry_equiv_pos_as_xyz
'x,y,z'
'-x,-y,-z'
'-x,y,-z'
'x,-y,z'
'x+1/2,y+1/2,z'
'-x+1/2,-y+1/2,-z'
'-x+1/2,y+1/2,-z'
'x+1/2,-y+1/2,z'
loop_
_atom_site_label
_atom_site_fract_x
_atom_site_fract_y
_atom_site_fract_z
La1 0.000 0.000 0.000
Tb1 0.124 0.500 0.422
Tb2 0.199 0.260 0.799
Pm1 0.000 0.000 0.500
# distance to the lowest polymorph of the same formula: 339.2 meV/atom
# ΔE_f: 0.36 eV/atom

=====

# 5
# GGA-PBE VIBr2, optimized geometry
data_VIBr2
_cell_length_a 7.725
_cell_length_b 7.725
_cell_length_c 9.586
_cell_angle_alpha 90.00
_cell_angle_beta 90.00
_cell_angle_gamma 90.00
_symmetry_space_group_name_H-M 'I -4 2 d'
_symmetry_Int_Tables_number 122
_symmetry_space_group_name_Hall 'I -4 2bw'
loop_
_atom_site_label
_atom_site_fract_x
_atom_site_fract_y
_atom_site_fract_z
V1 0.000 0.000 0.000
I1 0.000 0.000 0.500
Br1 0.120 0.250 0.125
# energy relative to the elements, uncorrected: -216 meV per atom
# distance to the lowest polymorph of the same formula: 406.2 meV/atom

=====

# 6
# GGA-PBE Ba3Ta2TlO9, optimized geometry
data_Ba3Ta2TlO9
_cell_length_a 6.0014
_cell_length_b 6.0014
_cell_length_c 7.6684
_cell_angle_alpha 90.00
_cell_angle_beta 90.00
_cell_angle_gamma 120.00
_symmetry_space_group_name_H-M 'P -3 m 1'
_symmetry_Int_Tables_number 164
_symmetry_space_group_name_Hall '-P 3 2"'
loop_
_atom_site_label
_atom_site_fract_x
_atom_site_fract_y
_atom_site_fract_z
Ba1 0.0000 0.0000 0.0000
Ba2 0.3333 0.6667 0.6820
Ta1 0.3333 0.6667 0.1614
Tl1 0.0000 0.0000 0.5000
O1 0.0000 0.5000 0.0000
O2 0.1777 0.3555 0.2973
# energy relative to the elements, uncorrected: -2595 meV per atom

=====

# 7
# GGA-PBE Dy2TmPuN4, optimized geometry
data_Dy2TmPuN4
_cell_length_a 5.967
_cell_length_b 3.462
_cell_length_c 5.970
_cell_angle_alpha 90.00
_cell_angle_beta 109.36
_cell_angle_gamma 90.00
_symmetry_space_group_name_H-M 'P 1 2/m 1'
_symmetry_Int_Tables_number 10
loop_
_symmetry_equiv_pos_as_xyz
'x,y,z'
'-x,-y,-z'
'-x,y,-z'
'x,-y,z'
loop_
_atom_site_label
_atom_site_fract_x
_atom_site_fract_y
_atom_site_fract_z
Dy1 0.000 0.000 0.000
Dy2 0.500 0.500 0.000
Tm1 0.000 0.500 0.500
Pu1 0.500 0.000 0.500
N1 0.250 0.000 0.743
N2 0.254 0.500 0.258
# energy relative to the elements, uncorrected: -1609 meV per atom

=====

# 8
# GGA-PBE Rb2AsBr6O, optimized geometry
data_Rb2AsBr6O
_cell_length_a 8.302
_cell_length_b 8.302
_cell_length_c 9.394
_cell_angle_alpha 90.00
_cell_angle_beta 90.00
_cell_angle_gamma 90.00
_symmetry_space_group_name_H-M 'I 4/m m m'
_symmetry_Int_Tables_number 139
_symmetry_space_group_name_Hall '-I 4 2'
loop_
_atom_site_label
_atom_site_fract_x
_atom_site_fract_y
_atom_site_fract_z
Rb1 0.000 0.500 0.250
As1 0.000 0.000 0.000
Br1 0.000 0.000 0.278
Br2 0.224 0.224 0.000
O1 0.000 0.000 0.500
# energy relative to the elements, uncorrected: -678 meV per atom

=====

In the order shown, the computed total moment values come out to 0.00 0.00 0.00 0.00 7.89 0.00 4.70 2.00 μB per cell.